# ZnGa2Rh2 PBE-GGA relaxed
# **Offset from the most stable computed form**: 0 meV per atom
# **ΔH_f (0 K)**: -50.57 kJ per mole of atoms
# **Calculated density**: 9.1 Mg/m³
data_ZnGa2Rh2
_space_group_name_H-M_alt 'P 4/m b m'
_space_group_IT_number 127
_space_group_name_Hall '-P 4 2ab'
_cell_length_a 7.073
_cell_length_b 7.073
_cell_length_c 3.007
_cell_angle_alpha 90.00
_cell_angle_beta 90.00
_cell_angle_gamma 90.00
loop_
_atom_site_label
_atom_site_type_symbol
_atom_site_fract_x
_atom_site_fract_y
_atom_site_fract_z
Zn1 Zn 0.000 0.000 0.000
Ga1 Ga 0.146 0.354 0.500
Rh1 Rh 0.153 0.653 0.000